Ca2TlRu (GGA-PBE, optimized geometry); space-group type = Fm-3m (225); magnetization = 0.000 μB per atom; energy above the lowest structure with this stoichiometry = 56 meV/atom
1.0
0.000 3.628 3.628
3.628 0.000 3.628
3.628 3.628 0.000
Ru Tl Ca
1 1 2
Cartesian
0.000 0.000 0.000
3.628 3.628 3.628
1.814 1.814 1.814
5.442 5.442 5.442

***

Ca2Tl2Ru (GGA-PBE, optimized geometry); space-group type = I4/mmm (139); magnetization = 0.321 μB per atom; energy above the lowest structure with this stoichiometry = 623 meV/atom
1.0
-2.030 -2.210 3.100
-0.305 -3.407 -2.629
5.164 -5.238 2.648
Ru Tl Ca
1 2 2
Cartesian
0.000 0.000 0.000
0.030 -3.268 0.692
2.799 -7.587 2.427
0.983 -5.128 2.991
1.845 -5.727 0.127

***

Here are the calculated calculated total energy numbers, same order: -3.822; -2.900 (eV per atom).
Here are the calculated calculated density numbers, same order: 6704; 7313 (kg/m3).
Here are the calculated formation enthalpy at 0 K numbers, same order: 90; 702 (meV/atom).